This record from the Alexandria database describes a relaxed structure of ErPaNi2O6. The functional is PBE+U.

Computed properties:
* total DFT energy (no corrections): -7.2355 eV per atom

Cell lengths 5.5041, 5.6056, 9.8910 Å; angles 90.00, 123.36, 90.00 degrees
Last column: nearest neighbours and their distance in Å.
Space group P2_1/c (No. 14)
Unique sites:
Er1 0.0000 0.0000 0.0000 x2  6 O 2.22-2.31
Pa1 0.5000 0.0000 0.5000 x2  6 O 2.14-2.32
Ni1 0.2349 0.0231 0.7505 x4  4 O 1.99-2.12
O1 0.1057 0.1197 0.2504 x4  2 Ni 2.03-2.12
O2 0.2467 0.6597 0.0821 x4  1 Ni 1.99, 1 Pa 2.16, 1 Er 2.22
O3 0.4311 0.1700 0.0818 x4  1 Ni 1.99, 1 Pa 2.14